No. 1
A geometry-optimized AgPt4 structure, computed with PBEsol.

The density of states at the Fermi level is 20.74 states/eV per cell. The value obtained for the excess energy over the best structure of this formula in the dataset is 0.0 meV per atom. Its formation energy from the elements is 0 kJ per mole of atoms. The value obtained for the density is 19.42 g/cm³.

The space group is R-3m (No. 166, hexagonal axes) and the conventional cell measures 2.7522, 2.7522 and 34.7366 Å, with angles of 90.00, 90.00 and 120.00 degrees. Symmetry generates all atoms from Ag at (0.0000, 0.0000, 0.0000), Pt at (0.0000, 0.0000, 0.1995) and Pt at (0.0000, 0.0000, 0.4011).

***

No. 2
A geometry-optimized AgPt structure, computed with PBEsol.

The density of states at the Fermi level is 3.80 states/eV per cell. Its formation energy from the elements is 1 kJ per mole of atoms. The value obtained for the density is 16.04 g/cm³.

The space group is C2/m (No. 12) and the conventional cell measures 10.092, 2.766 and 4.964 Å, with angles of 90.00, 115.12 and 90.00 degrees. Symmetry generates all atoms from Ag at (0.123, 0.000, 0.460) and Pt at (0.130, 0.500, 0.973).

***

No. 3
A geometry-optimized AgPt5 structure, computed with PBEsol.

The density of states at the Fermi level is 18.39 states/eV per cell. Its formation energy from the elements is 3 kJ per mole of atoms. The value obtained for the density is 19.79 g/cm³.

The space group is P-1 (No. 2) and the conventional cell measures 4.803, 4.813 and 8.341 Å, with angles of 73.23, 84.54 and 80.35 degrees. Symmetry generates all atoms from Ag at (0.126, 0.041, 0.208), Pt at (0.127, 0.374, 0.875), Pt at (0.127, 0.705, 0.543), Pt at (0.370, 0.127, 0.622), Pt at (0.378, 0.457, 0.292) and Pt at (0.378, 0.787, 0.960).

***

No. 4
A geometry-optimized Ag3Pt structure, computed with PBEsol.

The density of states at the Fermi level is 2.42 states/eV per cell. Its formation energy from the elements is 4 kJ per mole of atoms. The value obtained for the density is 13.34 g/cm³.

The space group is Immm (No. 71) and the conventional cell measures 2.920, 4.695 and 9.416 Å, with angles of 90.00, 90.00 and 90.00 degrees. Symmetry generates all atoms from Ag at (0.000, 0.000, 0.000), Ag at (0.000, 0.500, 0.248) and Pt at (0.000, 0.000, 0.500).

***

No. 5
A geometry-optimized Ag3Pt2 structure, computed with PBEsol.

The density of states at the Fermi level is 5.75 states/eV per cell. The value obtained for the excess energy over the best structure of this formula in the dataset is 70.7 meV per atom. Its formation energy from the elements is 3 kJ per mole of atoms. The value obtained for the density is 15.05 g/cm³.

The space group is I4/mmm (No. 139) and the conventional cell measures 2.777, 2.777 and 20.421 Å, with angles of 90.00, 90.00 and 90.00 degrees. Symmetry generates all atoms from Ag at (0.000, 0.000, 0.000), Ag at (0.000, 0.000, 0.199) and Pt at (0.000, 0.000, 0.400).

***

No. 6
A geometry-optimized Ag7Pt5 structure, computed with PBEsol.

The density of states at the Fermi level is 10.92 states/eV per cell. The value obtained for the excess energy over the best structure of this formula in the dataset is 4.7 meV per atom. Its formation energy from the elements is 0 kJ per mole of atoms. The value obtained for the density is 15.22 g/cm³.

The space group is C2 (No. 5) and the conventional cell measures 5.682, 16.835 and 4.835 Å, with angles of 90.00, 125.29 and 90.00 degrees. Symmetry generates all atoms from Ag at (0.000, 0.000, 0.000), Ag at (0.000, 0.082, 0.500), Ag at (0.000, 0.169, 0.000), Ag at (0.000, 0.250, 0.500), Ag at (0.000, 0.419, 0.500), Ag at (0.000, 0.830, 0.000), Ag at (0.000, 0.914, 0.500), Pt at (0.000, 0.335, 0.000), Pt at (0.000, 0.501, 0.000), Pt at (0.000, 0.585, 0.500), Pt at (0.000, 0.662, 0.000) and Pt at (0.000, 0.747, 0.500).

***

No. 7
A geometry-optimized AgPt structure, computed with PBEsol.

The density of states at the Fermi level is 3.31 states/eV per cell. Its formation energy from the elements is 1 kJ per mole of atoms. The value obtained for the density is 16.13 g/cm³.

The space group is P-3m1 (No. 164) and the conventional cell measures 2.7589, 2.7589 and 9.4622 Å, with angles of 90.00, 90.00 and 120.00 degrees. Symmetry generates all atoms from Ag at (0.3333, 0.6667, 0.3741) and Pt at (0.3333, 0.6667, 0.8753).

***

No. 8
A geometry-optimized RbAg3Pt structure, computed with PBEsol.

The density of states at the Fermi level is 2.29 states/eV per cell. Its formation energy from the elements is 41 kJ per mole of atoms. The value obtained for the density is 7.41 g/cm³.

The space group is Pm-3m (No. 221) and the conventional cell measures 5.135, 5.135 and 5.135 Å, with angles of 90.00, 90.00 and 90.00 degrees. Symmetry generates all atoms from Rb at (0.000, 0.000, 0.000), Ag at (0.000, 0.500, 0.500) and Pt at (0.500, 0.500, 0.500).

***

No. 9
A geometry-optimized Rb2TiAgPt structure, computed with PBEsol.

The density of states at the Fermi level is 8.24 states/eV per cell. Its formation energy from the elements is 120 kJ per mole of atoms. The value obtained for the density is 4.79 g/cm³.

The space group is P4/mmm (No. 123) and the conventional cell measures 5.897, 5.897 and 5.197 Å, with angles of 90.00, 90.00 and 90.00 degrees. Symmetry generates all atoms from Rb at (0.000, 0.500, 0.000), Ti at (0.000, 0.000, 0.500), Ag at (0.000, 0.000, 0.000) and Pt at (0.500, 0.500, 0.500).

***

No. 10
A geometry-optimized ReAgPt2 structure, computed with PBEsol.

The density of states at the Fermi level is 1.71 states/eV per cell. The value obtained for the excess energy over the best structure of this formula in the dataset is 0.0 meV per atom. Its formation energy from the elements is -10 kJ per mole of atoms. The value obtained for the density is 18.79 g/cm³.

The space group is P4/mmm (No. 123) and the conventional cell measures 2.754, 2.754 and 7.977 Å, with angles of 90.00, 90.00 and 90.00 degrees. Symmetry generates all atoms from Re at (0.000, 0.000, 0.000), Ag at (0.000, 0.000, 0.500) and Pt at (0.500, 0.500, 0.234).

***

No. 11
A geometry-optimized ReAgPt2 structure, computed with PBEsol.

The density of states at the Fermi level is 2.29 states/eV per cell. The value obtained for the excess energy over the best structure of this formula in the dataset is 229.4 meV per atom. Its formation energy from the elements is 12 kJ per mole of atoms. The value obtained for the density is 18.81 g/cm³.

The space group is P4mm (No. 99) and the conventional cell measures 2.741, 2.741 and 8.043 Å, with angles of 90.00, 90.00 and 90.00 degrees. Symmetry generates all atoms from Re at (0.000, 0.000, 0.000), Ag at (0.500, 0.500, 0.262), Pt at (0.000, 0.000, 0.519) and Pt at (0.500, 0.500, 0.773).

***

No. 12
A geometry-optimized Re2AgPt structure, computed with PBEsol.

The density of states at the Fermi level is 5.98 states/eV per cell. The value obtained for the excess energy over the best structure of this formula in the dataset is 189.5 meV per atom. Its formation energy from the elements is 39 kJ per mole of atoms. The value obtained for the density is 18.81 g/cm³.

The space group is I4/mmm (No. 139) and the conventional cell measures 3.780, 3.780 and 8.341 Å, with angles of 90.00, 90.00 and 90.00 degrees. Symmetry generates all atoms from Re at (0.000, 0.500, 0.250), Ag at (0.000, 0.000, 0.000) and Pt at (0.000, 0.000, 0.500).

***

No. 13
A geometry-optimized ReAgPt2 structure, computed with PBEsol.

The density of states at the Fermi level is 5.56 states/eV per cell. The value obtained for the excess energy over the best structure of this formula in the dataset is 529.8 meV per atom. Its formation energy from the elements is 41 kJ per mole of atoms. The value obtained for the density is 18.84 g/cm³.

The space group is P4/mmm (No. 123) and the conventional cell measures 3.928, 3.928 and 3.909 Å, with angles of 90.00, 90.00 and 90.00 degrees. Symmetry generates all atoms from Re at (0.000, 0.000, 0.000), Ag at (0.500, 0.500, 0.000) and Pt at (0.000, 0.500, 0.500).

***

No. 14
A geometry-optimized ReAgPt2 structure, computed with PBEsol.

The density of states at the Fermi level is 3.84 states/eV per cell. The value obtained for the excess energy over the best structure of this formula in the dataset is 305.0 meV per atom. Its formation energy from the elements is 20 kJ per mole of atoms. The value obtained for the density is 17.33 g/cm³.

The space group is Imm2 (No. 44) and the conventional cell measures 2.699, 4.388 and 11.072 Å, with angles of 90.00, 90.00 and 90.00 degrees. Symmetry generates all atoms from Re at (0.000, 0.000, 0.000), Ag at (0.000, 0.500, 0.731), Pt at (0.000, 0.000, 0.568) and Pt at (0.000, 0.500, 0.307).

***

No. 15
A geometry-optimized Re2AgPt structure, computed with PBEsol.

The density of states at the Fermi level is 3.25 states/eV per cell. The value obtained for the excess energy over the best structure of this formula in the dataset is 0.0 meV per atom. Its formation energy from the elements is 21 kJ per mole of atoms. The value obtained for the density is 18.63 g/cm³.

The space group is Pm (No. 6) and the conventional cell measures 2.729, 3.941 and 5.598 Å, with angles of 90.00, 91.02 and 90.00 degrees. Symmetry generates all atoms from Re at (0.000, 0.000, 0.000), Re at (0.433, 0.500, 0.218), Ag at (0.962, 0.000, 0.489) and Pt at (0.464, 0.500, 0.738).

***

No. 16
A geometry-optimized Re2AgPt structure, computed with PBEsol.

The density of states at the Fermi level is 6.48 states/eV per cell. The value obtained for the excess energy over the best structure of this formula in the dataset is 124.1 meV per atom. Its formation energy from the elements is 33 kJ per mole of atoms. The value obtained for the density is 18.87 g/cm³.

The space group is I-4m2 (No. 119) and the conventional cell measures 3.939, 3.939 and 7.661 Å, with angles of 90.00, 90.00 and 90.00 degrees. Symmetry generates all atoms from Re at (0.000, 0.000, 0.000), Re at (0.000, 0.500, 0.250), Ag at (0.000, 0.000, 0.500) and Pt at (0.000, 0.500, 0.750).

***

No. 17
A geometry-optimized ReAgPt2 structure, computed with PBEsol.

The density of states at the Fermi level is 6.99 states/eV per cell. The value obtained for the excess energy over the best structure of this formula in the dataset is 233.1 meV per atom. Its formation energy from the elements is 13 kJ per mole of atoms. The value obtained for the density is 18.94 g/cm³.

The space group is Cmmm (No. 65) and the conventional cell measures 5.552, 7.947 and 2.718 Å, with angles of 90.00, 90.00 and 90.00 degrees. Symmetry generates all atoms from Re at (0.000, 0.000, 0.000), Ag at (0.000, 0.500, 0.000) and Pt at (0.250, 0.250, 0.500).

***

No. 18
A geometry-optimized TiReAg2Pt structure, computed with PBEsol.

The density of states at the Fermi level is 5.96 states/eV per cell. Its formation energy from the elements is 145 kJ per mole of atoms. The value obtained for the density is 9.56 g/cm³.

The space group is P4/mmm (No. 123) and the conventional cell measures 4.877, 4.877 and 4.707 Å, with angles of 90.00, 90.00 and 90.00 degrees. Symmetry generates all atoms from Ti at (0.000, 0.000, 0.000), Re at (0.500, 0.500, 0.000), Ag at (0.000, 0.500, 0.500) and Pt at (0.500, 0.500, 0.500).

***

No. 19
A geometry-optimized AgPtRh2 structure, computed with PBEsol.

The density of states at the Fermi level is 23.14 states/eV per cell. The value obtained for the excess energy over the best structure of this formula in the dataset is 271.3 meV per atom. Its formation energy from the elements is 32 kJ per mole of atoms. The value obtained for the density is 14.35 g/cm³.

The space group is Fm-3m (No. 225) and the conventional cell measures 6.175, 6.175 and 6.175 Å, with angles of 90.00, 90.00 and 90.00 degrees. Symmetry generates all atoms from Ag at (0.000, 0.000, 0.000), Pt at (0.000, 0.000, 0.500) and Rh at (0.250, 0.250, 0.250).

***

No. 20
A geometry-optimized AgPt2Rh structure, computed with PBEsol.

The density of states at the Fermi level is 7.75 states/eV per cell. The value obtained for the excess energy over the best structure of this formula in the dataset is 30.6 meV per atom. Its formation energy from the elements is 4 kJ per mole of atoms. The value obtained for the density is 16.81 g/cm³.

The space group is Cmmm (No. 65) and the conventional cell measures 5.499, 7.912 and 2.729 Å, with angles of 90.00, 90.00 and 90.00 degrees. Symmetry generates all atoms from Ag at (0.000, 0.000, 0.000), Pt at (0.250, 0.250, 0.500) and Rh at (0.000, 0.500, 0.000).